(1)
GaCoP2 | GGA-PBE | optimized geometry

Summary:
- space-group type = I-42d (122)
- M_tot (μB per formula unit) = 0.00
- ΔE_f (meV per atom) = -165

Cell: 5.279 5.279 6.386 Å, 65.59 65.59 90.00°
Positions (direct):
P 0.582 0.125 0.250
P 0.168 0.625 0.250
P 0.375 0.418 0.750
P 0.875 0.832 0.750
Co 0.500 0.500 0.000
Co 0.250 0.750 0.500
Ga 0.000 0.000 0.000
Ga 0.750 0.250 0.500

***

(2)
PmAgPt | GGA-PBE | optimized geometry

Summary:
- space-group type = P4/nmm (129)
- M_tot (μB per formula unit) = 0.00
- ΔE_f (meV per atom) = -774
- energy above the lowest structure with this stoichiometry (meV per atom) = 0

Cell: 4.142 4.142 7.706 Å, 90.00 90.00 90.00°
Positions (direct):
Pm 0.250 0.750 0.338
Pm 0.750 0.250 0.662
Ag 0.750 0.750 0.000
Ag 0.250 0.250 0.000
Pt 0.750 0.250 0.273
Pt 0.250 0.750 0.727

***

(3)
TiZnSb2Te | GGA-PBE | optimized geometry

Summary:
- formation energy (no corrections) (eV per atom) = 0.751
- space-group type = P4/mmm (123)
- M_tot (μB per formula unit) = 0.03
- energy above the lowest structure with this stoichiometry (meV per atom) = 559

Cell: 5.123 5.123 5.302 Å, 90.00 90.00 90.00°
Positions (direct):
Sb 0.000 0.500 0.000
Sb 0.500 0.000 0.000
Zn 0.000 0.000 0.000
Te 0.000 0.000 0.500
Ti 0.500 0.500 0.500

***

- Which value of M_tot does entry 3 give?
  0.03 μB per formula unit